# 1
# Ca2CdCuAg GGA-PBE optimized geometry
data_Ca2CdCuAg
_cell_length_a 5.457
_cell_length_b 5.457
_cell_length_c 4.902
_cell_angle_alpha 90.00
_cell_angle_beta 90.00
_cell_angle_gamma 90.00
_space_group_name_H-M_alt 'P 1'
_space_group_IT_number 1
loop_
_space_group_symop_operation_xyz
'x,y,z'
loop_
_atom_site_label
_atom_site_type_symbol
_atom_site_fract_x
_atom_site_fract_y
_atom_site_fract_z
Ca1 Ca 0.000 0.500 0.000
Ca2 Ca 0.500 0.000 0.000
Cd1 Cd 0.000 0.000 0.500
Cu1 Cu 0.000 0.000 0.000
Ag1 Ag 0.500 0.500 0.500
# formation energy	2.1	kJ per mole of atoms

***

# 2
# Pm4TmHg5 GGA-PBE optimized geometry
data_Pm4TmHg5
_cell_length_a 3.768
_cell_length_b 3.768
_cell_length_c 19.100
_cell_angle_alpha 90.00
_cell_angle_beta 90.00
_cell_angle_gamma 90.00
_space_group_name_H-M_alt 'P 1'
_space_group_IT_number 1
loop_
_space_group_symop_operation_xyz
'x,y,z'
loop_
_atom_site_label
_atom_site_type_symbol
_atom_site_fract_x
_atom_site_fract_y
_atom_site_fract_z
Pm1 Pm 0.000 0.000 0.101
Pm2 Pm 0.000 0.000 0.304
Pm3 Pm 0.000 0.000 0.696
Pm4 Pm 0.000 0.000 0.899
Tm1 Tm 0.000 0.000 0.500
Hg1 Hg 0.500 0.500 0.000
Hg2 Hg 0.500 0.500 0.202
Hg3 Hg 0.500 0.500 0.409
Hg4 Hg 0.500 0.500 0.591
Hg5 Hg 0.500 0.500 0.798
# formation energy	-45.6	kJ per mole of atoms

***

# 3
# BeSnPb2I GGA-PBE optimized geometry
data_BeSnPb2I
_cell_length_a 6.019
_cell_length_b 6.019
_cell_length_c 5.897
_cell_angle_alpha 90.00
_cell_angle_beta 90.00
_cell_angle_gamma 90.00
_space_group_name_H-M_alt 'P 1'
_space_group_IT_number 1
loop_
_space_group_symop_operation_xyz
'x,y,z'
loop_
_atom_site_label
_atom_site_type_symbol
_atom_site_fract_x
_atom_site_fract_y
_atom_site_fract_z
Be1 Be 0.000 0.000 0.000
Sn1 Sn 0.500 0.500 0.000
Pb1 Pb 0.000 0.500 0.500
Pb2 Pb 0.500 0.000 0.500
I1 I 0.500 0.500 0.500
# formation energy without anion corrections	1.286	eV/atom

***

# 4
# Cs2NiRu GGA-PBE optimized geometry
data_Cs2NiRu
_cell_length_a 9.266
_cell_length_b 9.266
_cell_length_c 9.266
_cell_angle_alpha 93.41
_cell_angle_beta 93.41
_cell_angle_gamma 151.78
_space_group_name_H-M_alt 'P 1'
_space_group_IT_number 1
loop_
_space_group_symop_operation_xyz
'x,y,z'
loop_
_atom_site_label
_atom_site_type_symbol
_atom_site_fract_x
_atom_site_fract_y
_atom_site_fract_z
Cs1 Cs 0.000 0.000 0.000
Cs2 Cs 0.000 0.000 0.500
Cs3 Cs 0.000 0.500 0.000
Cs4 Cs 0.500 0.000 0.500
Ni1 Ni 0.375 0.625 0.750
Ni2 Ni 0.625 0.375 0.250
Ru1 Ru 0.125 0.875 0.250
Ru2 Ru 0.875 0.125 0.750
# formation energy	97.0	kJ per mole of atoms

***

# 5
# Tl2ZnMo GGA-PBE optimized geometry
data_Tl2ZnMo
_cell_length_a 5.362
_cell_length_b 5.362
_cell_length_c 5.385
_cell_angle_alpha 95.20
_cell_angle_beta 95.20
_cell_angle_gamma 32.29
_space_group_name_H-M_alt 'P 1'
_space_group_IT_number 1
loop_
_space_group_symop_operation_xyz
'x,y,z'
loop_
_atom_site_label
_atom_site_type_symbol
_atom_site_fract_x
_atom_site_fract_y
_atom_site_fract_z
Tl1 Tl 0.238 0.238 0.244
Tl2 Tl 0.762 0.762 0.756
Zn1 Zn 0.000 0.000 0.500
Mo1 Mo 0.500 0.500 0.000
# E above lowest polymorph	0.194	eV per atom
# formation energy	64.5	kJ per mole of atoms